YTcIr2: optimized geometry, PBE-GGA.

Properties
E_form ... 0.30 eV/atom
Calculated total energy ... -8.33 eV per atom
Volume ... 22.96 Å³ per atom
DOS(E_F) ... 9.0 states/eV/cell
Energy relative to the lowest polymorph listed for this composition ... 545 meV per atom

Unit cell a=4.710 b=4.710 c=8.926 alpha=74.70 beta=74.70 gamma=90.00
Element x y z (fractional)
Y1 0.500 0.500 0.000
Y2 0.250 0.750 0.500
Ir1 0.774 0.125 0.250
Ir2 0.976 0.625 0.250
Ir3 0.375 0.226 0.750
Ir4 0.875 0.024 0.750
Tc1 0.000 0.000 0.000
Tc2 0.750 0.250 0.500